A relaxed structure of MnVNiHO. Source: Alexandria, functional GGA+U.

abc: 7.7484 7.7484 7.7484
angles: 22.42 22.42 22.42
With the nearest neighbours (Å) after each atom.
Element x y z (fractional)
1 Mn 0.0000 0.0000 0.0000  3 H 2.38, 3 Ni 2.63
2 V 0.7815 0.7815 0.7815  3 O 1.98, 3 H 2.00
3 Ni 0.2462 0.2462 0.2462  1 O 2.02
4 H 0.4048 0.4048 0.4048  3 V 2.00
5 O 0.1570 0.1570 0.1570  3 V 1.98, 1 Ni 2.02

## Properties
Space-group type: R3m
Energy relative to the lowest polymorph listed for this composition: 0.081 eV per atom
Electronic total energy: -5.32 eV/atom

***

A relaxed structure of MnVNiHO. Source: Alexandria, functional GGA+U.

abc: 3.1094 6.5971 6.5971
angles: 26.29 90.00 90.00
With the nearest neighbours (Å) after each atom.
Element x y z (fractional)
1 Mn 0.0000 0.0000 0.0000  1 O 2.08, 4 H 2.17
2 V 0.0000 0.2474 0.2474  2 O 1.90
3 Ni 0.5000 0.6162 0.6162  1 H 1.64
4 H 0.5000 0.4888 0.4888  1 Ni 1.64
5 O 0.0000 0.8381 0.8381  2 V 1.90, 1 Mn 2.08

## Properties
Space-group type: Amm2
Energy relative to the lowest polymorph listed for this composition: 0.112 eV per atom
Electronic total energy: -5.29 eV/atom